[1]
Density functional theory data (GGA-PBE) for a relaxed InCo2P crystal.

Lattice parameters (Å, degrees): 4.5772 4.5772 4.5772 137.20 116.21 79.90
With the nearest neighbours (Å) after each atom.
Sites, in units of the cell vectors:
In 0.0000 0.0000 0.0000  8 Co 2.74-2.76, 4 P 2.94
Co 0.3101 0.8101 0.5000  2 P 2.14
Co 0.6899 0.1899 0.5000  2 P 2.14
P 0.5000 0.5000 0.0000  4 Co 2.14

* space-group type: Immm, No. 71
* electronic total energy: -22.38 eV/cell

[2]
Density functional theory data (GGA-PBE) for a relaxed InCo2P crystal.

Lattice parameters (Å, degrees): 5.3902 5.3902 5.3902 105.24 105.24 118.30
With the nearest neighbours (Å) after each atom.
Sites, in units of the cell vectors:
In 0.0000 0.0000 0.0000  2 P 2.76, 8 Co 2.79-2.87
In 0.7500 0.2500 0.5000  2 P 2.76, 8 Co 2.79-2.87
Co 0.2042 0.6250 0.0792  2 P 2.10
Co 0.3750 0.4542 0.5792  2 P 2.10
Co 0.5458 0.1250 0.9208  2 P 2.10
Co 0.8750 0.7958 0.4208  2 P 2.10
P 0.2500 0.7500 0.5000  4 Co 2.10
P 0.5000 0.5000 0.0000  4 Co 2.10

* space-group type: I-42d, No. 122
* electronic total energy: -44.55 eV/cell

[3]
Density functional theory data (GGA-PBE) for a relaxed In2CoP crystal.

Lattice parameters (Å, degrees): 4.9829 4.9829 5.8967 111.85 111.85 36.50
With the nearest neighbours (Å) after each atom.
Sites, in units of the cell vectors:
In 0.0000 0.0000 0.0000  1 P 2.69, 2 Co 2.74
In 0.1774 0.1774 0.6285  3 Co 2.58-2.68, 1 P 2.87
Co 0.4395 0.4395 0.5908  2 P 2.17
P 0.8568 0.8568 0.3140  2 Co 2.17

* space-group type: Cm, No. 8
* electronic total energy: -17.99 eV/cell

[4]
Density functional theory data (GGA-PBE) for a relaxed In2CoP crystal.

Lattice parameters (Å, degrees): 2.9950 2.9950 7.9330 90.00 90.00 90.10
With the nearest neighbours (Å) after each atom.
Sites, in units of the cell vectors:
In 0.0000 0.0000 0.2131  4 Co 2.71, 4 In 3.00
In 0.0000 0.0000 0.7869  4 Co 2.71, 4 In 3.00
Co 0.5000 0.5000 0.0000  8 In 2.71, 4 Co 3.00
P 0.5000 0.5000 0.5000  4 P 3.00, 8 In 3.11

* space-group type: Cmmm, No. 65
* electronic total energy: -16.53 eV/cell

[5]
Density functional theory data (GGA-PBE) for a relaxed InCoP2 crystal.

Lattice parameters (Å, degrees): 3.7100 3.7100 6.3949 105.68 105.68 54.95
With the nearest neighbours (Å) after each atom.
Sites, in units of the cell vectors:
In 0.0000 0.0000 0.0000  6 P 2.97-3.08
Co 0.5000 0.5000 0.5000  6 P 2.25-2.28
P 0.2273 0.2273 0.6443  3 Co 2.25-2.28
P 0.7727 0.7727 0.3557  3 Co 2.25-2.28

* excess energy over the best structure of this formula in the dataset: 6 meV/atom
* space-group type: C2/m, No. 12

[6]
Density functional theory data (GGA-PBE) for a relaxed InCo2P2 crystal.

Lattice parameters (Å, degrees): 7.1192 7.1192 2.8249 90.00 90.00 90.00
With the nearest neighbours (Å) after each atom.
Sites, in units of the cell vectors:
In 0.0000 0.0000 0.0000  4 Co 2.81, 2 In 2.82, 8 P 3.12
In 0.5000 0.5000 0.0000  4 Co 2.81, 2 In 2.82, 8 P 3.12
Co 0.1260 0.3740 0.0000  4 P 2.32, 1 Co 2.54
Co 0.3740 0.8740 0.0000  4 P 2.32, 1 Co 2.54
Co 0.6260 0.1260 0.0000  4 P 2.32, 1 Co 2.54
Co 0.8740 0.6260 0.0000  4 P 2.32, 1 Co 2.54
P 0.1330 0.6330 0.5000  4 Co 2.32
P 0.3670 0.1330 0.5000  4 Co 2.32
P 0.6330 0.8670 0.5000  4 Co 2.32
P 0.8670 0.3670 0.5000  4 Co 2.32

* space-group type: P4/mbm, No. 127
* electronic total energy: -55.06 eV/cell

[7]
Density functional theory data (GGA-PBE) for a relaxed InCo2P crystal.

Lattice parameters (Å, degrees): 4.9476 4.9476 4.9476 137.81 137.81 61.19
With the nearest neighbours (Å) after each atom.
Sites, in units of the cell vectors:
In 0.0000 0.0000 0.0000  8 Co 2.52-2.78, 4 P 2.78
Co 0.5000 0.5000 0.0000  4 In 2.52, 4 Co 2.78, 4 P 2.78
Co 0.7500 0.2500 0.5000  4 P 2.52, 4 Co 2.78, 4 In 2.78
P 0.2500 0.7500 0.5000  8 Co 2.52-2.78, 4 In 2.78

* space-group type: I-4m2, No. 119
* electronic total energy: -21.29 eV/cell

[8]
Density functional theory data (GGA-PBE) for a relaxed InCoP2 crystal.

Lattice parameters (Å, degrees): 4.4023 3.6473 4.7925 90.00 113.07 90.00
With the nearest neighbours (Å) after each atom.
Sites, in units of the cell vectors:
In 0.0000 0.0000 0.0000  2 Co 2.54
Co 0.5000 0.0000 0.5000  4 P 2.22
P 0.2739 0.5000 0.6013  1 P 2.22, 2 Co 2.22
P 0.7261 0.5000 0.3987  1 P 2.22, 2 Co 2.22

* excess energy over the best structure of this formula in the dataset: 0 meV/atom
* space-group type: P2/m, No. 10

[9]
Density functional theory data (GGA-PBE) for a relaxed InCoP5 crystal.

Lattice parameters (Å, degrees): 3.5543 3.5543 11.1548 90.00 90.00 90.00
With the nearest neighbours (Å) after each atom.
Sites, in units of the cell vectors:
In 0.0000 0.0000 0.0000  4 P 2.51
Co 0.0000 0.0000 0.5000  8 P 2.35
P 0.0000 0.5000 0.3623  2 Co 2.35, 4 P 2.51
P 0.0000 0.5000 0.6377  2 Co 2.35, 4 P 2.51
P 0.5000 0.0000 0.3623  2 Co 2.35, 4 P 2.51
P 0.5000 0.0000 0.6377  2 Co 2.35, 4 P 2.51
P 0.5000 0.5000 0.0000  4 In 2.51

* excess energy over the best structure of this formula in the dataset: 0 meV/atom
* space-group type: P4/mmm, No. 123

[10]
Density functional theory data (GGA-PBE) for a relaxed InCo2P crystal.

Lattice parameters (Å, degrees): 3.0680 4.1342 4.8726 90.00 108.16 90.00
With the nearest neighbours (Å) after each atom.
Sites, in units of the cell vectors:
In 0.0000 0.0000 0.0000  3 Co 2.45-2.66
Co 0.3377 0.5000 0.6827  2 P 2.17
Co 0.7321 0.0000 0.4699  2 P 2.14
P 0.6730 0.5000 0.3505  4 Co 2.14-2.17

* space-group type: Pm, No. 6
* electronic total energy: -22.27 eV/cell

[11]
Density functional theory data (GGA-PBE) for a relaxed InCoP2 crystal.

Lattice parameters (Å, degrees): 4.0281 4.0281 5.7794 104.86 104.86 49.72
With the nearest neighbours (Å) after each atom.
Sites, in units of the cell vectors:
In 0.0000 0.0000 0.0000  2 Co 2.80, 4 P 2.81-2.89
Co 0.6581 0.6581 0.3926  5 P 2.18-2.31
P 0.2232 0.2232 0.6760  1 P 2.21, 2 Co 2.31
P 0.3568 0.3568 0.3775  3 Co 2.18-2.25, 1 P 2.21

* excess energy over the best structure of this formula in the dataset: 21 meV/atom
* space-group type: Cm, No. 8

[12]
Density functional theory data (GGA-PBE) for a relaxed In2CoP crystal.

Lattice parameters (Å, degrees): 5.0271 5.0271 5.0271 135.61 124.25 73.89
With the nearest neighbours (Å) after each atom.
Sites, in units of the cell vectors:
In 0.2426 0.2426 0.0000  2 Co 2.72, 2 P 2.81, 4 In 3.02
In 0.7574 0.7574 0.0000  2 Co 2.72, 2 P 2.81, 4 In 3.02
Co 0.0000 0.5000 0.5000  4 In 2.72, 4 P 3.02
P 0.5000 0.0000 0.5000  8 In 2.81-3.05, 4 Co 3.02

* space-group type: Immm, No. 71
* electronic total energy: -16.19 eV/cell

Asked for density of states at the Fermi level across the records above, the calculation gives 0.481, 0.148, 0.498, 0.574, 0.552, 1.124, 1.123, 0.276, 0.783, 1.110, 0.569, 0.565 states/eV per atom in order.
Asked for ρ across the records above, the calculation gives 7.72, 7.40, 6.62, 7.46, 5.70, 6.83, 8.11, 5.53, 3.87, 7.46, 5.70, 7.40 Mg/m³ in order.